VASP calculation (PBE) on crystalline RbSiI at its relaxed geometry.

Output
* ρ: 2.6 Mg/m³
* raw formation energy: -1.00 eV/f.u.

Cell lengths 5.970, 6.419, 9.310 Å; angles 86.36, 71.31, 64.37 degrees
Space group P-1 (No. 2)
Inequivalent atoms, fractional coordinates:
Rb  0.007  0.271  0.217 [2 per cell]
Si  0.387  0.692  0.028 [2 per cell]
I  0.277  0.642  0.331 [2 per cell]

=====

VASP calculation (PBE) on crystalline CdSCl2 at its relaxed geometry.

Output
* D(E_F): 0.52 states/eV per atom
* ρ: 3.2 Mg/m³
* raw formation energy: -0.18 eV/f.u.

Cell lengths 4.0922, 4.0922, 22.8584 Å; angles 90.00, 90.00, 120.00 degrees
Space group R-3m (No. 166, hexagonal axes)
Inequivalent atoms, fractional coordinates:
Cd  0.0000  0.0000  0.0000 [3 per cell]
S  0.0000  0.0000  0.5000 [3 per cell]
Cl  0.0000  0.0000  0.3970 [6 per cell]

=====

VASP calculation (PBE) on crystalline Tb2Y6Er3Tm at its relaxed geometry.

Output
* D(E_F): 1.46 states/eV per atom
* ρ: 6.7 Mg/m³
* formation enthalpy at 0 K: 24 meV/atom

Cell lengths 6.145, 10.629, 11.759 Å; angles 90.00, 99.98, 90.00 degrees
Space group C2/m (No. 12)
Inequivalent atoms, fractional coordinates:
Tb  0.000  0.167  0.000 [4 per cell]
Y  0.249  0.500  0.749 [4 per cell]
Y  0.250  0.167  0.749 [8 per cell]
Er  0.000  0.000  0.500 [2 per cell]
Er  0.000  0.334  0.500 [4 per cell]
Tm  0.000  0.500  0.000 [2 per cell]

=====

VASP calculation (PBE) on crystalline NaCa2Ac2 at its relaxed geometry.

Output
* D(E_F): 1.39 states/eV per atom
* ρ: 3.7 Mg/m³
* formation enthalpy at 0 K: 387 meV/atom

Cell lengths 5.081, 5.081, 19.191 Å; angles 90.00, 90.00, 90.00 degrees
Space group I4/mmm (No. 139)
Inequivalent atoms, fractional coordinates:
Na  0.000  0.000  0.000 [2 per cell]
Ca  0.000  0.000  0.404 [4 per cell]
Ac  0.000  0.500  0.250 [4 per cell]

=====

VASP calculation (PBE) on crystalline NdErIn3 at its relaxed geometry.

Output
* D(E_F): 0.76 states/eV per atom
* ρ: 7.3 Mg/m³
* formation enthalpy at 0 K: -242 meV/atom

Cell lengths 7.2711, 7.2711, 6.4922 Å; angles 90.00, 90.00, 120.00 degrees
Space group P6_3/mmc (No. 194)
Inequivalent atoms, fractional coordinates:
Nd  0.3333  0.6667  0.2500 [2 per cell]
Er  0.0000  0.0000  0.0000 [2 per cell]
In  0.2015  0.4029  0.7500 [6 per cell]

=====

VASP calculation (PBE) on crystalline Er6MgRh at its relaxed geometry.

Output
* D(E_F): 1.36 states/eV per atom
* ρ: 7.5 Mg/m³
* formation enthalpy at 0 K: 25 meV/atom

Cell lengths 6.866, 6.876, 7.283 Å; angles 90.14, 117.98, 119.88 degrees
Space group P-1 (No. 2)
Inequivalent atoms, fractional coordinates:
Er  0.048  0.077  0.253 [2 per cell]
Er  0.282  0.705  0.253 [2 per cell]
Er  0.322  0.528  0.747 [2 per cell]
Mg  0.500  0.000  0.000 [1 per cell]
Rh  0.500  0.500  0.500 [1 per cell]

=====

VASP calculation (PBE) on crystalline Rb2MgCdBr6 at its relaxed geometry.

Output
* D(E_F): 0.00 states/eV per atom
* ρ: 4.0 Mg/m³
* raw formation energy: -13.72 eV/f.u.

Cell lengths 10.970, 10.970, 10.970 Å; angles 90.00, 90.00, 90.00 degrees
Space group Fm-3m (No. 225)
Inequivalent atoms, fractional coordinates:
Rb  0.250  0.250  0.250 [8 per cell]
Mg  0.000  0.000  0.000 [4 per cell]
Cd  0.000  0.000  0.500 [4 per cell]
Br  0.000  0.000  0.245 [24 per cell]

=====

VASP calculation (PBE) on crystalline In2CuAs at its relaxed geometry.

Output
* D(E_F): 0.41 states/eV per atom
* ρ: 6.9 Mg/m³
* formation enthalpy at 0 K: 108 meV/atom

Cell lengths 7.111, 4.035, 6.579 Å; angles 90.00, 110.62, 90.00 degrees
Space group C2/m (No. 12)
Inequivalent atoms, fractional coordinates:
In  0.245  0.000  0.235 [4 per cell]
Cu  0.000  0.500  0.000 [2 per cell]
As  0.000  0.000  0.500 [2 per cell]